! CsHfTeAuSe2, relaxed, DFT GGA-PBE; values from VASP
&SYSTEM
  ibrav = 0, nat = 12, ntyp = 5
/
ATOMIC_SPECIES
Cs 132.91 Cs.upf
Hf 178.49 Hf.upf
Te 127.60 Te.upf
Au 196.97 Au.upf
Se 78.96 Se.upf
ATOMIC_POSITIONS crystal
Cs 0.232 0.768 0.750
Cs 0.768 0.232 0.250
Hf 0.000 0.000 0.000
Hf 0.000 0.000 0.500
Te 0.075 0.925 0.250
Te 0.925 0.075 0.750
Au 0.461 0.539 0.250
Au 0.539 0.461 0.750
Se 0.392 0.608 0.038
Se 0.392 0.608 0.462
Se 0.608 0.392 0.538
Se 0.608 0.392 0.962
CELL_PARAMETERS angstrom
2.000 -8.473 0.000
2.000 8.473 0.000
0.000 0.000 10.835
! Raw total energy (eV/atom): -4.943
! Crystal system: orthorhombic